A plane-wave DFT calculation with GGA+U was carried out for a relaxed SrAcW2O8 crystal.

a b c (Å): 6.563 6.563 6.563
angles (deg): 106.81 106.81 114.93
Last column: magnetic moment on the atom in μB.
Atoms (fractional coordinates):
O 0.336 0.526 0.191  0.02
O 0.911 0.230 0.319  0.00
W 0.750 0.250 0.500  0.00
O 0.336 0.145 0.809  0.02
O 0.408 0.089 0.319  0.00
Sr 0.000 0.000 0.000  0.00
O 0.855 0.664 0.191  0.02
Ac 0.250 0.750 0.500  0.01
O 0.474 0.664 0.809  0.02
O 0.911 0.592 0.681  0.00
W 0.500 0.500 0.000  0.92
O 0.770 0.089 0.681  0.00

Properties
- Size of the total moment: 1.00 μB per formula unit
- VASP energy: -7.483 eV/atom